a | # CuIrAu PBE relaxed
# Fermi-level density of states (states/eV per cell): 4.4
# V (Å³ per cell): 45.0
data_CuIrAu
_chemical_formula_sum 'Cu1 Ir1 Au1'
_cell_length_a 2.7800
_cell_length_b 2.7800
_cell_length_c 6.7231
_cell_angle_alpha 90.00
_cell_angle_beta 90.00
_cell_angle_gamma 120.00
_space_group_name_H-M_alt 'P 1'
_space_group_IT_number 1
_space_group_name_Hall 'P 1'
loop_
_atom_site_label
_atom_site_type_symbol
_atom_site_fract_x
_atom_site_fract_y
_atom_site_fract_z
Cu1 Cu 0.0000 0.0000 0.0000
Ir1 Ir 0.6667 0.3333 0.3070
Au1 Au 0.3333 0.6667 0.6709



b | # CuIrAu PBE relaxed
# Fermi-level density of states (states/eV per cell): 3.4
# V (Å³ per cell): 89.8
data_CuIrAu
_chemical_formula_sum 'Cu2 Ir2 Au2'
_cell_length_a 2.7855
_cell_length_b 2.7855
_cell_length_c 11.5697
_cell_angle_alpha 90.00
_cell_angle_beta 90.00
_cell_angle_gamma 90.00
_space_group_name_H-M_alt 'P 1'
_space_group_IT_number 1
_space_group_name_Hall 'P 1'
loop_
_atom_site_label
_atom_site_type_symbol
_atom_site_fract_x
_atom_site_fract_y
_atom_site_fract_z
Cu1 Cu 0.2500 0.2500 0.2347
Cu2 Cu 0.7500 0.7500 0.7653
Ir1 Ir 0.2500 0.2500 0.9228
Ir2 Ir 0.7500 0.7500 0.0772
Au1 Au 0.2500 0.2500 0.5995
Au2 Au 0.7500 0.7500 0.4005



It is a that is the least stable of them.



a | # RuRh2Cl PBE relaxed
# Fermi-level density of states (states/eV per cell): 3.6
# V (Å³ per cell): 158.6
data_RuRh2Cl
_chemical_formula_sum 'Ru2 Rh4 Cl2'
_cell_length_a 6.0518
_cell_length_b 6.0518
_cell_length_c 6.0518
_cell_angle_alpha 119.18
_cell_angle_beta 119.18
_cell_angle_gamma 91.42
_space_group_name_H-M_alt 'P 1'
_space_group_IT_number 1
_space_group_name_Hall 'P 1'
loop_
_atom_site_label
_atom_site_type_symbol
_atom_site_fract_x
_atom_site_fract_y
_atom_site_fract_z
Ru1 Ru 0.0000 0.0000 0.0000
Ru2 Ru 0.7500 0.2500 0.5000
Rh1 Rh 0.1133 0.6250 0.9883
Rh2 Rh 0.3750 0.3633 0.4883
Rh3 Rh 0.6367 0.1250 0.0117
Rh4 Rh 0.8750 0.8867 0.5117
Cl1 Cl 0.2500 0.7500 0.5000
Cl2 Cl 0.5000 0.5000 0.0000



b | # RuRh2Cl PBE relaxed
# Fermi-level density of states (states/eV per cell): 5.0
# V (Å³ per cell): 60.3
data_RuRh2Cl
_chemical_formula_sum 'Ru1 Rh2 Cl1'
_cell_length_a 2.8234
_cell_length_b 2.8234
_cell_length_c 8.8459
_cell_angle_alpha 90.00
_cell_angle_beta 90.00
_cell_angle_gamma 121.16
_space_group_name_H-M_alt 'P 1'
_space_group_IT_number 1
_space_group_name_Hall 'P 1'
loop_
_atom_site_label
_atom_site_type_symbol
_atom_site_fract_x
_atom_site_fract_y
_atom_site_fract_z
Ru1 Ru 0.0000 0.0000 0.0000
Rh1 Rh 0.5000 0.5000 0.2526
Rh2 Rh 0.5000 0.5000 0.7474
Cl1 Cl 0.0000 0.0000 0.5000



It is a that is the least stable of them.



a | # LiSi2Cl PBE relaxed
# Fermi-level density of states (states/eV per cell): 1.5
# V (Å³ per cell): 95.9
data_LiSi2Cl
_chemical_formula_sum 'Li1 Si2 Cl1'
_cell_length_a 3.4221
_cell_length_b 3.4221
_cell_length_c 8.1852
_cell_angle_alpha 90.00
_cell_angle_beta 90.00
_cell_angle_gamma 90.00
_space_group_name_H-M_alt 'P 1'
_space_group_IT_number 1
_space_group_name_Hall 'P 1'
loop_
_atom_site_label
_atom_site_type_symbol
_atom_site_fract_x
_atom_site_fract_y
_atom_site_fract_z
Li1 Li 0.0000 0.0000 0.0000
Si1 Si 0.2472 0.2472 0.5000
Si2 Si 0.7528 0.7528 0.5000
Cl1 Cl 0.5000 0.5000 0.0000



b | # LiSi2Cl PBE relaxed
# Fermi-level density of states (states/eV per cell): 2.6
# V (Å³ per cell): 185.8
data_LiSi2Cl
_chemical_formula_sum 'Li2 Si4 Cl2'
_cell_length_a 6.5392
_cell_length_b 6.5392
_cell_length_c 6.5392
_cell_angle_alpha 123.60
_cell_angle_beta 123.60
_cell_angle_gamma 83.88
_space_group_name_H-M_alt 'P 1'
_space_group_IT_number 1
_space_group_name_Hall 'P 1'
loop_
_atom_site_label
_atom_site_type_symbol
_atom_site_fract_x
_atom_site_fract_y
_atom_site_fract_z
Li1 Li 0.0000 0.0000 0.0000
Li2 Li 0.7500 0.2500 0.5000
Si1 Si 0.1045 0.6250 0.9795
Si2 Si 0.3750 0.3545 0.4795
Si3 Si 0.6455 0.1250 0.0205
Si4 Si 0.8750 0.8955 0.5205
Cl1 Cl 0.2500 0.7500 0.5000
Cl2 Cl 0.5000 0.5000 0.0000



It is b that is the least stable of them.



a | # N PBE relaxed
# Fermi-level density of states (states/eV per cell): 0.0
# V (Å³ per cell): 96.3
data_N
_chemical_formula_sum 'N4'
_cell_length_a 4.0269
_cell_length_b 4.0943
_cell_length_c 5.8638
_cell_angle_alpha 88.98
_cell_angle_beta 86.29
_cell_angle_gamma 86.66
_space_group_name_H-M_alt 'P 1'
_space_group_IT_number 1
_space_group_name_Hall 'P 1'
loop_
_atom_site_label
_atom_site_type_symbol
_atom_site_fract_x
_atom_site_fract_y
_atom_site_fract_z
N1 N 0.0833 0.0909 0.0314
N2 N 0.4065 0.6010 0.4815
N3 N 0.5935 0.3990 0.5185
N4 N 0.9167 0.9091 0.9686



b | # N PBE relaxed
# Fermi-level density of states (states/eV per cell): 0.0
# V (Å³ per cell): 86.9
data_N
_chemical_formula_sum 'N2'
_cell_length_a 3.9507
_cell_length_b 3.9507
_cell_length_c 6.4301
_cell_angle_alpha 90.00
_cell_angle_beta 90.00
_cell_angle_gamma 120.00
_space_group_name_H-M_alt 'P 1'
_space_group_IT_number 1
_space_group_name_Hall 'P 1'
loop_
_atom_site_label
_atom_site_type_symbol
_atom_site_fract_x
_atom_site_fract_y
_atom_site_fract_z
N1 N 0.3333 0.6667 0.2500
N2 N 0.6667 0.3333 0.7500



It is b that is the least stable of them.



a | # BaReRh PBE relaxed
# Fermi-level density of states (states/eV per cell): 3.8
# V (Å³ per cell): 164.8
data_BaReRh
_chemical_formula_sum 'Ba2 Re2 Rh2'
_cell_length_a 4.5535
_cell_length_b 4.5535
_cell_length_c 8.0723
_cell_angle_alpha 91.24
_cell_angle_beta 91.24
_cell_angle_gamma 80.02
_space_group_name_H-M_alt 'P 1'
_space_group_IT_number 1
_space_group_name_Hall 'P 1'
loop_
_atom_site_label
_atom_site_type_symbol
_atom_site_fract_x
_atom_site_fract_y
_atom_site_fract_z
Ba1 Ba 0.2430 0.2430 0.1721
Ba2 Ba 0.7570 0.7570 0.8279
Re1 Re 0.2854 0.7146 0.5000
Re2 Re 0.7146 0.2854 0.5000
Rh1 Rh 0.2169 0.2169 0.6349
Rh2 Rh 0.7831 0.7831 0.3651



b | # BaReRh PBE relaxed
# Fermi-level density of states (states/eV per cell): 8.6
# V (Å³ per cell): 142.0
data_BaReRh
_chemical_formula_sum 'Ba2 Re2 Rh2'
_cell_length_a 5.3971
_cell_length_b 4.3844
_cell_length_c 6.1185
_cell_angle_alpha 90.00
_cell_angle_beta 101.27
_cell_angle_gamma 90.00
_space_group_name_H-M_alt 'P 1'
_space_group_IT_number 1
_space_group_name_Hall 'P 1'
loop_
_atom_site_label
_atom_site_type_symbol
_atom_site_fract_x
_atom_site_fract_y
_atom_site_fract_z
Ba1 Ba 0.2465 0.2500 0.4332
Ba2 Ba 0.7535 0.7500 0.5668
Re1 Re 0.3726 0.7500 0.9700
Re2 Re 0.6274 0.2500 0.0300
Rh1 Rh 0.0904 0.2500 0.9247
Rh2 Rh 0.9096 0.7500 0.0753



It is b that is the least stable of them.